[1]
SbAu2 | Alexandria via LeMat-Bulk | PBE | optimized geometry; SG = I4_1/amd, No. 141; density of states at the Fermi level = 5.15 states/eV per cell; magnetic moment = 0.000 Bohr magnetons per cell; formation energy without anion corrections = 0.07 eV/atom; final energy = -3.4884 eV per atom
1.0
13.703 -0.037 0.000
12.350 5.937 0.000
-13.027 -2.950 3.063
Au Sb
8 4
direct
0.835 0.335 0.500 Au
0.752 0.752 0.000 Au
0.248 0.248 0.000 Au
0.002 0.502 0.500 Au
0.498 0.998 0.500 Au
0.585 0.585 0.000 Au
0.665 0.165 0.500 Au
0.415 0.415 0.000 Au
0.075 0.075 0.000 Sb
0.325 0.825 0.500 Sb
0.175 0.675 0.500 Sb
0.925 0.925 0.000 Sb

=====

[2]
Sm6NiSb3 | Alexandria via LeMat-Bulk | PBE | optimized geometry; SG = P2_1/c, No. 14; density of states at the Fermi level = 17.18 states/eV per cell; magnetic moment = 0.000 Bohr magnetons per cell; formation energy without anion corrections = -0.70 eV/atom; final energy = -5.3461 eV per atom
1.0
6.470 0.000 -0.074
0.000 8.501 0.000
-0.038 0.000 10.885
Sm Sb Ni
12 6 2
direct
0.361 0.837 0.063 Sm
0.639 0.163 0.937 Sm
0.118 0.307 0.058 Sm
0.861 0.663 0.563 Sm
0.382 0.807 0.442 Sm
0.882 0.693 0.942 Sm
0.139 0.337 0.437 Sm
0.636 0.459 0.269 Sm
0.618 0.193 0.558 Sm
0.864 0.959 0.231 Sm
0.136 0.041 0.769 Sm
0.364 0.541 0.731 Sm
0.500 0.500 0.000 Sb
0.088 0.616 0.244 Sb
0.000 0.000 0.500 Sb
0.912 0.384 0.756 Sb
0.412 0.116 0.256 Sb
0.588 0.884 0.744 Sb
0.500 0.500 0.500 Ni
0.000 0.000 0.000 Ni

=====

[3]
Li4Sm3Pt4 | Alexandria via LeMat-Bulk | PBE | optimized geometry; ΔE_f = -0.785 eV per atom; SG = Immm, No. 71; density of states at the Fermi level = 5.01 states/eV per cell; magnetic moment = 0.000 Bohr magnetons per cell; final energy = -4.9649 eV per atom
1.0
3.920 0.000 -0.975
-0.911 6.486 -3.663
-0.032 0.308 8.240
Pt Li Sm
4 4 3
direct
0.500 0.196 0.000 Pt
0.500 0.804 0.000 Pt
0.222 0.722 0.443 Pt
0.778 0.278 0.557 Pt
0.324 0.515 0.648 Li
0.676 0.485 0.352 Li
0.324 0.133 0.648 Li
0.676 0.867 0.352 Li
0.125 0.125 0.249 Sm
0.000 0.500 0.000 Sm
0.875 0.875 0.751 Sm

=====

[4]
SmZrNi4 | Alexandria via LeMat-Bulk | PBE | optimized geometry; ΔE_f = -0.328 eV per atom; SG = F-43m, No. 216; density of states at the Fermi level = 4.85 states/eV per cell; magnetic moment = 0.000 Bohr magnetons per cell; final energy = -6.3931 eV per atom
1.0
-4.292 0.176 -2.628
-3.838 -3.016 1.241
-4.153 1.939 2.087
Ni Zr Sm
4 1 1
direct
0.626 0.626 0.626 Ni
0.626 0.626 0.123 Ni
0.626 0.123 0.626 Ni
0.123 0.626 0.626 Ni
0.000 0.000 0.000 Zr
0.250 0.250 0.250 Sm

=====

[5]
ZrCuIrAu | Alexandria via LeMat-Bulk | PBE | optimized geometry; ΔE_f = -0.318 eV per atom; SG = F-43m, No. 216; density of states at the Fermi level = 2.45 states/eV per cell; magnetic moment = 0.000 Bohr magnetons per cell; final energy = -6.5134 eV per atom
1.0
-1.869 1.738 3.787
-0.096 -2.470 3.840
2.654 1.162 3.530
Cu Ir Zr Au
1 1 1 1
direct
0.250 0.250 0.250 Cu
0.000 0.000 0.000 Ir
0.750 0.750 0.750 Zr
0.500 0.500 0.500 Au

=====

[6]
SrLi8Zn2 | Alexandria via LeMat-Bulk | PBE | optimized geometry; ΔE_f = 0.167 eV per atom; SG = I4/mmm, No. 139; density of states at the Fermi level = 5.12 states/eV per cell; magnetic moment = 0.000 Bohr magnetons per cell; final energy = -1.6098 eV per atom
1.0
5.354 0.000 -1.934
-0.699 5.308 -1.934
0.681 0.776 10.261
Sr Li Zn
1 8 2
direct
0.500 0.500 0.000 Sr
0.411 0.411 0.319 Li
0.411 0.908 0.319 Li
0.589 0.092 0.681 Li
0.908 0.908 0.319 Li
0.092 0.589 0.681 Li
0.589 0.589 0.681 Li
0.908 0.411 0.319 Li
0.092 0.092 0.681 Li
0.750 0.250 0.500 Zn
0.250 0.750 0.500 Zn

=====

[7]
Er2SiO5 | Alexandria via LeMat-Bulk | PBE | optimized geometry; SG = C2/c, No. 15; density of states at the Fermi level = 0.00 states/eV per cell; magnetic moment = 0.000 Bohr magnetons per cell; formation energy without anion corrections = -3.40 eV/atom; final energy = -8.3197 eV per atom; energy above the most stable polymorph in this dataset = 0 kJ/mol of formula units
1.0
7.970 -0.014 -0.009
5.114 6.113 -0.009
5.004 2.332 8.807
O Si Er
20 4 8
direct
0.149 0.447 0.677 O
0.165 0.593 0.326 O
0.127 0.276 0.067 O
0.553 0.851 0.823 O
0.851 0.553 0.323 O
0.873 0.724 0.933 O
0.610 0.422 0.104 O
0.724 0.873 0.433 O
0.900 0.920 0.636 O
0.080 0.100 0.864 O
0.407 0.835 0.174 O
0.593 0.165 0.826 O
0.578 0.390 0.396 O
0.835 0.407 0.674 O
0.920 0.900 0.136 O
0.447 0.149 0.177 O
0.276 0.127 0.567 O
0.100 0.080 0.364 O
0.390 0.578 0.896 O
0.422 0.610 0.604 O
0.091 0.273 0.694 Si
0.273 0.091 0.194 Si
0.909 0.727 0.306 Si
0.727 0.909 0.806 Si
0.761 0.524 0.162 Er
0.292 0.782 0.032 Er
0.708 0.218 0.968 Er
0.476 0.239 0.338 Er
0.218 0.708 0.468 Er
0.524 0.761 0.662 Er
0.782 0.292 0.532 Er
0.239 0.476 0.838 Er

=====

[8]
BaInBi3 | Alexandria via LeMat-Bulk | PBE | optimized geometry; ΔE_f = -0.293 eV per atom; SG = Pnma, No. 62; density of states at the Fermi level = 6.98 states/eV per cell; magnetic moment = 0.000 Bohr magnetons per cell; final energy = -3.5541 eV per atom; energy above the most stable polymorph in this dataset = 10 kJ/mol of formula units
1.0
5.824 0.000 0.000
0.000 13.752 0.000
0.000 0.000 9.320
In Bi Ba
4 12 4
direct
0.750 0.138 0.427 In
0.750 0.362 0.927 In
0.250 0.638 0.073 In
0.250 0.862 0.573 In
0.250 0.122 0.584 Bi
0.750 0.828 0.079 Bi
0.750 0.878 0.416 Bi
0.250 0.172 0.921 Bi
0.250 0.841 0.914 Bi
0.750 0.672 0.579 Bi
0.250 0.378 0.084 Bi
0.250 0.659 0.414 Bi
0.750 0.159 0.086 Bi
0.750 0.622 0.916 Bi
0.250 0.328 0.421 Bi
0.750 0.341 0.586 Bi
0.250 0.501 0.726 Ba
0.250 0.999 0.226 Ba
0.750 0.001 0.774 Ba
0.750 0.499 0.274 Ba

=====

[9]
KGaSi | Alexandria via LeMat-Bulk | PBE | optimized geometry; SG = Pm, No. 6; density of states at the Fermi level = 2.27 states/eV per cell; magnetic moment = 0.000 Bohr magnetons per cell; formation energy without anion corrections = 0.05 eV/atom; final energy = -3.1284 eV per atom
1.0
5.581 0.000 0.000
0.000 3.721 0.000
-1.341 0.000 8.059
Ga K Si
2 2 2
direct
0.814 0.500 0.455 Ga
0.428 0.500 0.065 Ga
0.899 0.000 0.840 K
0.329 0.000 0.500 K
0.011 0.500 0.192 Si
0.733 0.000 0.216 Si

=====

[10]
ZrPt2F | Alexandria via LeMat-Bulk | PBE | optimized geometry; SG = Fm-3m, No. 225; density of states at the Fermi level = 2.87 states/eV per cell; magnetic moment = 0.000 Bohr magnetons per cell; formation energy without anion corrections = -0.76 eV/atom; final energy = -6.3850 eV per atom; energy above the most stable polymorph in this dataset = 118 kJ/mol of formula units
1.0
0.000 3.200 3.200
3.200 0.000 3.200
3.200 3.200 0.000
Pt Zr F
2 1 1
direct
0.250 0.250 0.250 Pt
0.750 0.750 0.750 Pt
0.500 0.500 0.500 Zr
0.000 0.000 0.000 F

=====

[11]
Mg5In4Sn | Alexandria via LeMat-Bulk | PBE | optimized geometry; ΔE_f = -0.098 eV per atom; SG = P4/mmm, No. 123; density of states at the Fermi level = 3.59 states/eV per cell; magnetic moment = 0.000 Bohr magnetons per cell; final energy = -2.3910 eV per atom
1.0
3.279 0.000 0.000
0.000 3.279 0.000
0.000 0.000 21.887
Sn Mg In
1 5 4
direct
0.000 0.000 0.000 Sn
0.500 0.500 0.098 Mg
0.500 0.500 0.500 Mg
0.500 0.500 0.902 Mg
0.500 0.500 0.298 Mg
0.500 0.500 0.702 Mg
0.000 0.000 0.601 In
0.000 0.000 0.399 In
0.000 0.000 0.197 In
0.000 0.000 0.803 In

=====

[12]
Ag2MoOs | Alexandria via LeMat-Bulk | PBE | optimized geometry; ΔE_f = 0.341 eV per atom; SG = P4mm, No. 99; density of states at the Fermi level = 3.02 states/eV per cell; magnetic moment = 0.000 Bohr magnetons per cell; final energy = -6.5995 eV per atom; energy above the most stable polymorph in this dataset = 38 kJ/mol of formula units
1.0
-1.950 -0.630 2.083
2.122 -1.172 1.632
1.312 7.063 3.364
Mo Os Ag
1 1 2
direct
0.000 0.000 0.532 Mo
0.500 0.500 0.723 Os
0.500 0.500 0.254 Ag
0.000 0.000 0.992 Ag

=====

[13]
Nd4BiTeS2 | Alexandria via LeMat-Bulk | PBE | optimized geometry; SG = P2/m, No. 10; density of states at the Fermi level = 2.89 states/eV per cell; magnetic moment = 0.000 Bohr magnetons per cell; formation energy without anion corrections = -1.59 eV/atom; final energy = -5.8801 eV per atom
1.0
-0.020 -0.314 4.250
7.566 -0.870 -0.029
3.165 6.653 0.506
Nd S Te Bi
4 2 1 1
direct
0.000 0.213 0.261 Nd
0.500 0.789 0.235 Nd
0.000 0.787 0.739 Nd
0.500 0.211 0.765 Nd
0.000 0.000 0.000 S
0.500 0.000 0.500 S
0.000 0.500 0.500 Te
0.500 0.500 0.000 Bi

=====

[14]
Tb6CePm2Dy | Alexandria via LeMat-Bulk | PBE | optimized geometry; ΔE_f = 0.246 eV per atom; SG = C2/m, No. 12; density of states at the Fermi level = 20.63 states/eV per cell; magnetic moment = 1.021 Bohr magnetons per cell; final energy = -4.5356 eV per atom
1.0
8.939 0.000 0.953
0.000 6.754 0.000
-2.341 -3.377 5.240
Ce Dy Tb Pm
1 1 6 2
direct
0.000 0.500 0.000 Ce
0.500 0.000 0.000 Dy
0.198 0.066 0.650 Tb
0.419 0.628 0.256 Tb
0.802 0.416 0.350 Tb
0.802 0.934 0.350 Tb
0.581 0.372 0.744 Tb
0.198 0.584 0.650 Tb
0.173 0.087 0.174 Pm
0.827 0.913 0.826 Pm

=====

[15]
BePAu | Alexandria via LeMat-Bulk | PBE | optimized geometry; ΔE_f = 0.418 eV per atom; SG = P6_3/mmc, No. 194; density of states at the Fermi level = 2.49 states/eV per cell; magnetic moment = 0.000 Bohr magnetons per cell; final energy = -3.7198 eV per atom
1.0
-3.643 0.261 -1.712
0.439 -1.908 3.527
-1.307 6.744 3.811
Au P Be
2 2 2
direct
0.333 0.667 0.250 Au
0.667 0.333 0.750 Au
0.000 0.000 0.000 P
0.000 0.000 0.500 P
0.000 0.000 0.750 Be
0.000 0.000 0.250 Be

=====

[16]
Ce4Pu2Bi3N2 | Alexandria via LeMat-Bulk | PBE | optimized geometry; SG = I4/mmm, No. 139; density of states at the Fermi level = 38.41 states/eV per cell; magnetic moment = 14.980 Bohr magnetons per cell; formation energy without anion corrections = -0.84 eV/atom; final energy = -8.1736 eV per atom
1.0
-1.635 -3.908 2.202
-1.711 -1.623 -4.151
13.152 -3.355 -1.365
Ce Bi N Pu
4 3 2 2
direct
0.413 0.913 0.825 Ce
0.087 0.587 0.175 Ce
0.913 0.413 0.825 Ce
0.587 0.087 0.175 Ce
0.819 0.819 0.638 Bi
0.000 0.000 0.000 Bi
0.181 0.181 0.362 Bi
0.606 0.606 0.213 N
0.394 0.394 0.787 N
0.307 0.307 0.615 Pu
0.693 0.693 0.385 Pu

=====

[17]
Tb2ZnNi7 | Alexandria via LeMat-Bulk | PBE | optimized geometry; ΔE_f = -0.246 eV per atom; SG = P-4m2, No. 115; density of states at the Fermi level = 14.86 states/eV per cell; magnetic moment = 0.196 Bohr magnetons per cell; final energy = -5.3463 eV per atom
1.0
3.803 0.000 0.000
0.000 3.803 0.000
0.000 0.000 10.367
Ni Tb Zn
7 2 1
direct
0.500 0.000 0.144 Ni
0.500 0.500 0.500 Ni
0.000 0.000 0.000 Ni
0.000 0.500 0.856 Ni
0.000 0.500 0.637 Ni
0.500 0.000 0.363 Ni
0.000 0.000 0.500 Ni
0.000 0.500 0.263 Tb
0.500 0.000 0.737 Tb
0.500 0.500 0.000 Zn

=====

[18]
BaCaCl2 | Alexandria via LeMat-Bulk | PBE | optimized geometry; SG = R-3m, No. 166; density of states at the Fermi level = 0.06 states/eV per cell; magnetic moment = 0.000 Bohr magnetons per cell; formation energy without anion corrections = -1.69 eV/atom; final energy = -3.5991 eV per atom; energy above the most stable polymorph in this dataset = 0 kJ/mol of formula units
1.0
-7.010 -3.708 1.752
-3.381 -7.256 1.371
-3.789 -4.479 5.617
Ca Ba Cl
1 1 2
direct
0.000 0.000 0.000 Ca
0.500 0.500 0.500 Ba
0.881 0.881 0.881 Cl
0.119 0.119 0.119 Cl

=====

[19]
AcScIn2 | Alexandria via LeMat-Bulk | PBE | optimized geometry; ΔE_f = -0.401 eV per atom; SG = P4/mmm, No. 123; density of states at the Fermi level = 2.97 states/eV per cell; magnetic moment = 0.000 Bohr magnetons per cell; final energy = -4.3807 eV per atom
1.0
3.785 0.000 0.000
0.000 3.785 0.000
0.000 0.000 7.866
In Sc Ac
2 1 1
direct
0.000 0.000 0.206 In
0.000 0.000 0.794 In
0.500 0.500 0.000 Sc
0.500 0.500 0.500 Ac

=====

[20]
CdS | Alexandria via LeMat-Bulk | PBE | optimized geometry; SG = Pm-3n, No. 223; magnetic moment = 0.000 Bohr magnetons per cell; formation energy without anion corrections = -0.57 eV/atom; final energy = -3.0890 eV per atom
1.0
7.283 0.000 0.000
0.000 7.283 0.000
0.000 0.000 7.283
Cd S
6 6
direct
0.500 0.000 0.750 Cd
0.000 0.750 0.500 Cd
0.500 0.000 0.250 Cd
0.250 0.500 0.000 Cd
0.750 0.500 0.000 Cd
0.000 0.250 0.500 Cd
0.500 0.750 0.000 S
0.000 0.500 0.250 S
0.000 0.500 0.750 S
0.500 0.250 0.000 S
0.250 0.000 0.500 S
0.750 0.000 0.500 S